<A>
First-principles (PBE-GGA) data for a geometry-optimized BeP3Au structure, as listed in Alexandria.

```
data_BeP3Au
_cell_length_a 4.274
_cell_length_b 4.274
_cell_length_c 4.274
_cell_angle_alpha 90.00
_cell_angle_beta 90.00
_cell_angle_gamma 90.00
_space_group_name_H-M_alt 'P m -3 m'
_space_group_IT_number 221
_space_group_name_Hall '-P 4 2 3'
loop_
_atom_site_label
_atom_site_type_symbol
_atom_site_fract_x
_atom_site_fract_y
_atom_site_fract_z
Be1 Be 0.000 0.000 0.000
P1 P 0.000 0.000 0.500
Au1 Au 0.500 0.500 0.500
```

Values from the calculation:
- Mass density: 6.4 g/cm3

<B>
First-principles (PBE-GGA) data for a geometry-optimized BeP3Au structure, as listed in Alexandria.

```
data_BeP3Au
_cell_length_a 4.818
_cell_length_b 4.818
_cell_length_c 4.818
_cell_angle_alpha 90.00
_cell_angle_beta 90.00
_cell_angle_gamma 90.00
_space_group_name_H-M_alt 'P m -3 m'
_space_group_IT_number 221
_space_group_name_Hall '-P 4 2 3'
loop_
_atom_site_label
_atom_site_type_symbol
_atom_site_fract_x
_atom_site_fract_y
_atom_site_fract_z
Be1 Be 0.000 0.000 0.000
P1 P 0.000 0.500 0.500
Au1 Au 0.500 0.500 0.500
```

Values from the calculation:
- Mass density: 4.4 g/cm3

Least stable structure: <B>

<A>
First-principles (PBE-GGA) data for a geometry-optimized BePbAu structure, as listed in Alexandria.

```
data_BePbAu
_cell_length_a 4.048
_cell_length_b 4.048
_cell_length_c 7.241
_cell_angle_alpha 90.00
_cell_angle_beta 90.00
_cell_angle_gamma 90.00
_space_group_name_H-M_alt 'P 4/n m m'
_space_group_IT_number 129
loop_
_space_group_symop_operation_xyz
'x,y,z'
'-x,-y,-z'
'-y+1/2,x,z'
'y+1/2,-x,-z'
'-x+1/2,-y+1/2,z'
'x+1/2,y+1/2,-z'
'y,-x+1/2,z'
'-y,x+1/2,-z'
'x+1/2,-y,-z'
'-x+1/2,y,z'
'-y,-x,-z'
'y,x,z'
'-x,y+1/2,-z'
'x,-y+1/2,z'
'y+1/2,x+1/2,-z'
'-y+1/2,-x+1/2,z'
loop_
_atom_site_label
_atom_site_type_symbol
_atom_site_fract_x
_atom_site_fract_y
_atom_site_fract_z
Be1 Be 0.250 0.750 0.000
Pb1 Pb 0.250 0.250 0.344
Au1 Au 0.250 0.250 0.826
```

Values from the calculation:
- Mass density: 11.6 g/cm3

<B>
First-principles (PBE-GGA) data for a geometry-optimized BePbAu structure, as listed in Alexandria.

```
data_BePbAu
_cell_length_a 4.0291
_cell_length_b 4.0291
_cell_length_c 4.3924
_cell_angle_alpha 90.00
_cell_angle_beta 90.00
_cell_angle_gamma 120.00
_space_group_name_H-M_alt 'P -6 m 2'
_space_group_IT_number 187
_space_group_name_Hall 'P -6 2'
loop_
_atom_site_label
_atom_site_type_symbol
_atom_site_fract_x
_atom_site_fract_y
_atom_site_fract_z
Be1 Be 0.0000 0.0000 0.0000
Pb1 Pb 0.6667 0.3333 0.5000
Au1 Au 0.3333 0.6667 0.0000
```

Values from the calculation:
- Mass density: 11.1 g/cm3

Least stable structure: <B>

<A>
First-principles (PBE-GGA) data for a geometry-optimized BePbAu structure, as listed in Alexandria.

```
data_BePbAu
_cell_length_a 6.194
_cell_length_b 6.194
_cell_length_c 6.194
_cell_angle_alpha 90.00
_cell_angle_beta 90.00
_cell_angle_gamma 90.00
_space_group_name_H-M_alt 'F -4 3 m'
_space_group_IT_number 216
_space_group_name_Hall 'F -4 2 3'
loop_
_atom_site_label
_atom_site_type_symbol
_atom_site_fract_x
_atom_site_fract_y
_atom_site_fract_z
Be1 Be 0.000 0.000 0.000
Pb1 Pb 0.250 0.250 0.750
Au1 Au 0.250 0.250 0.250
```

Values from the calculation:
- Mass density: 11.5 g/cm3

<B>
First-principles (PBE-GGA) data for a geometry-optimized BePbAu structure, as listed in Alexandria.

```
data_BePbAu
_cell_length_a 3.5974
_cell_length_b 3.5974
_cell_length_c 5.4891
_cell_angle_alpha 90.00
_cell_angle_beta 90.00
_cell_angle_gamma 120.00
_space_group_name_H-M_alt 'P 3 m 1'
_space_group_IT_number 156
_space_group_name_Hall 'P 3 -2"'
loop_
_atom_site_label
_atom_site_type_symbol
_atom_site_fract_x
_atom_site_fract_y
_atom_site_fract_z
Be1 Be 0.0000 0.0000 0.0000
Pb1 Pb 0.6667 0.3333 0.3865
Au1 Au 0.3333 0.6667 0.8275
```

Values from the calculation:
- Mass density: 11.2 g/cm3

<C>
First-principles (PBE-GGA) data for a geometry-optimized BePbAu structure, as listed in Alexandria.

```
data_BePbAu
_cell_length_a 4.625
_cell_length_b 4.564
_cell_length_c 5.785
_cell_angle_alpha 90.00
_cell_angle_beta 99.77
_cell_angle_gamma 90.00
_space_group_name_H-M_alt 'C 1 m 1'
_space_group_IT_number 8
_space_group_name_Hall 'C -2y'
loop_
_atom_site_label
_atom_site_type_symbol
_atom_site_fract_x
_atom_site_fract_y
_atom_site_fract_z
Be1 Be 0.000 0.000 0.000
Pb1 Pb 0.237 0.000 0.569
Au1 Au 0.031 0.500 0.118
```

Values from the calculation:
- Mass density: 11.4 g/cm3

Least stable structure: <A>